1.
PuSb2Pd, relaxed, DFT GGA-PBE; electronic total energy = -7.381 eV per atom; symmetry = R-3m; M_tot = 5.8 μB per cell
1.0
2.2294 1.2871 5.6408
-2.2294 1.2871 5.6408
0.0000 -2.5743 5.6408
Pu Sb Pd
1 2 1
direct
0.0000 0.0000 0.0000
0.2341 0.2341 0.2341
0.7659 0.7659 0.7659
0.5000 0.5000 0.5000

2.
ReRuRh2, relaxed, DFT GGA-PBE; symmetry = I-4m2; M_tot = 0.0 μB per cell; energy above the lowest structure with this stoichiometry = 0.068 eV/atom
1.0
-1.9381 1.9381 3.7911
1.9381 -1.9381 3.7911
1.9381 1.9381 -3.7911
Re Ru Rh
1 1 2
direct
0.0000 0.0000 0.0000
0.7500 0.2500 0.5000
0.2500 0.7500 0.5000
0.5000 0.5000 0.0000

3.
MgSc2Fe, relaxed, DFT GGA-PBE; electronic total energy = -5.823 eV per atom; symmetry = P2/m; M_tot = 0.0 μB per cell
1.0
3.1544 0.0000 0.0000
0.0000 3.1536 0.0000
-0.0104 0.0000 7.7949
Mg Sc Fe
1 2 1
direct
0.0000 0.0000 0.0000
0.4994 0.5000 0.6913
0.5006 0.5000 0.3087
0.0000 0.0000 0.5000

4.
MgRhCl, relaxed, DFT GGA-PBE; symmetry = F-43m; M_tot = 0.4 μB per cell; energy above the lowest structure with this stoichiometry = 0.928 eV/atom
1.0
0.0000 3.0914 3.0914
3.0914 0.0000 3.0914
3.0914 3.0914 0.0000
Mg Rh Cl
1 1 1
direct
0.0000 0.0000 0.0000
0.7500 0.7500 0.7500
0.2500 0.2500 0.2500

5.
Ac6SbTe3P2, relaxed, DFT GGA-PBE; electronic total energy = -5.584 eV per atom; symmetry = C2/m; M_tot = 0.0 μB per cell
1.0
3.9963 -6.9097 0.0000
3.9963 6.9097 0.0000
-2.6673 0.0000 7.7349
Ac Sb Te P
6 1 3 2
direct
0.0759 0.4249 0.7755
0.2248 0.2248 0.2215
0.4249 0.0759 0.7755
0.5751 0.9241 0.2245
0.7752 0.7752 0.7785
0.9241 0.5751 0.2245
0.5000 0.5000 0.0000
0.0000 0.0000 0.5000
0.3389 0.6611 0.5000
0.6611 0.3389 0.5000
0.1674 0.8326 0.0000
0.8326 0.1674 0.0000

6.
Ba2SrBeAl, relaxed, DFT GGA-PBE; electronic total energy = -2.263 eV per atom; symmetry = P4/mmm; M_tot = 0.0 μB per cell
1.0
6.7279 0.0000 0.0000
0.0000 6.7279 0.0000
0.0000 0.0000 4.5849
Ba Sr Be Al
2 1 1 1
direct
0.0000 0.5000 0.0000
0.5000 0.0000 0.0000
0.0000 0.0000 0.5000
0.5000 0.5000 0.5000
0.5000 0.5000 0.0000

7.
Ta2CoHgPt, relaxed, DFT GGA-PBE; electronic total energy = -5.144 eV per atom; symmetry = P4/mmm; M_tot = 1.3 μB per cell
1.0
4.9995 0.0000 0.0000
0.0000 4.9995 0.0000
0.0000 0.0000 4.8923
Ta Co Hg Pt
2 1 1 1
direct
0.0000 0.5000 0.0000
0.5000 0.0000 0.0000
0.0000 0.0000 0.5000
0.5000 0.5000 0.0000
0.5000 0.5000 0.5000

8.
HoEr2Cu, relaxed, DFT GGA-PBE; symmetry = P2_1/m; M_tot = 0.0 μB per cell; energy above the lowest structure with this stoichiometry = 0.045 eV/atom
1.0
4.8584 0.0000 0.0000
0.0000 7.5131 0.0000
-2.4221 0.0000 5.7250
Ho Er Cu
2 4 2
direct
0.0443 0.2500 0.0888
0.9557 0.7500 0.9112
0.3520 0.0332 0.7037
0.3520 0.4668 0.7037
0.6480 0.5332 0.2963
0.6480 0.9668 0.2963
0.2012 0.7500 0.4044
0.7988 0.2500 0.5956

9.
TaAlFeCu, relaxed, DFT GGA-PBE; electronic total energy = -7.222 eV per atom; symmetry = F-43m; M_tot = 0.9 μB per cell
1.0
0.0000 3.0137 3.0137
3.0137 0.0000 3.0137
3.0137 3.0137 0.0000
Ta Al Fe Cu
1 1 1 1
direct
0.0000 0.0000 0.0000
0.5000 0.5000 0.5000
0.2500 0.2500 0.2500
0.7500 0.7500 0.7500

10.
NdSmDy6Tm2, relaxed, DFT GGA-PBE; electronic total energy = -4.482 eV per atom; symmetry = C2/c; M_tot = 0.0 μB per cell
1.0
4.5932 -7.4684 0.0000
4.5932 7.4684 0.0000
-1.0254 0.0000 9.4071
Nd Sm Dy Tm
2 2 12 4
direct
0.0318 0.9682 0.7500
0.9682 0.0318 0.2500
0.4091 0.5909 0.2500
0.5909 0.4091 0.7500
0.0160 0.5610 0.6803
0.1161 0.7558 0.0570
0.2442 0.8839 0.4430
0.2934 0.5163 0.8837
0.4390 0.9840 0.8197
0.4837 0.7066 0.6163
0.5163 0.2934 0.3837
0.5610 0.0160 0.1803
0.7066 0.4837 0.1163
0.7558 0.1161 0.5570
0.8839 0.2442 0.9430
0.9840 0.4390 0.3197
0.1991 0.3011 0.5495
0.3011 0.1991 0.0495
0.6989 0.8009 0.9505
0.8009 0.6989 0.4505

11.
TbScAgAu, relaxed, DFT GGA-PBE; symmetry = P4mm; M_tot = 0.0 μB per cell; energy above the lowest structure with this stoichiometry = 0.000 eV/atom
1.0
3.4947 0.0000 0.0000
0.0000 3.4947 0.0000
0.0000 0.0000 7.1566
Tb Sc Ag Au
1 1 1 1
direct
0.0000 0.0000 0.0000
0.0000 0.0000 0.5103
0.5000 0.5000 0.2813
0.5000 0.5000 0.7292

12.
LaZrTeI2, relaxed, DFT GGA-PBE; symmetry = P4/mmm; M_tot = 3.0 μB per cell; energy above the lowest structure with this stoichiometry = 0.392 eV/atom
1.0
6.1673 0.0000 0.0000
0.0000 6.1673 0.0000
0.0000 0.0000 6.2340
La Zr Te I
1 1 1 2
direct
0.0000 0.0000 0.0000
0.5000 0.5000 0.5000
0.0000 0.0000 0.5000
0.0000 0.5000 0.0000
0.5000 0.0000 0.0000